Crystalline Dy2GaAu3 at its relaxed geometry, computed with PBE-GGA.

Symmetry: Imm2
Total magnetic moment: 0.0 μB per formula unit
Formation energy from the elements: -0.687 eV/atom
Energy above the lowest structure with this stoichiometry: 10.3 kJ/mol of atoms
Volume: 136.2 Å³/cell

a = 9.203 Å, b = 9.203 Å, c = 9.203 Å
α = 156.51°, β = 153.96°, γ = 35.35°
Sites, in units of the cell vectors:
Dy 0.000 0.000 0.000
Dy 0.746 0.246 0.500
Ga 0.583 0.583 0.000
Au 0.163 0.663 0.500
Au 0.320 0.820 0.500
Au 0.434 0.434 0.000

Crystalline B3Ir5 at its relaxed geometry, computed with PBE-GGA.

Symmetry: Pbam
Total magnetic moment: 0.0 μB per formula unit
Formation energy from the elements: 0.007 eV/atom
Volume: 192.7 Å³/cell

a = 6.094 Å, b = 8.893 Å, c = 3.556 Å
α = 90.00°, β = 90.00°, γ = 90.00°
Sites, in units of the cell vectors:
B 0.000 0.000 0.000
B 0.003 0.319 0.500
B 0.497 0.819 0.500
B 0.500 0.500 0.000
B 0.503 0.181 0.500
B 0.997 0.681 0.500
Ir 0.000 0.500 0.000
Ir 0.146 0.794 0.000
Ir 0.166 0.101 0.500
Ir 0.334 0.601 0.500
Ir 0.354 0.294 0.000
Ir 0.500 0.000 0.000
Ir 0.646 0.706 0.000
Ir 0.666 0.399 0.500
Ir 0.834 0.899 0.500
Ir 0.854 0.206 0.000

Crystalline TcPbW2 at its relaxed geometry, computed with PBE-GGA.

Symmetry: P4/mmm
Total magnetic moment: 0.0 μB per formula unit
Formation energy from the elements: 1.020 eV/atom
Volume: 69.9 Å³/cell

a = 4.599 Å, b = 4.599 Å, c = 3.305 Å
α = 90.00°, β = 90.00°, γ = 90.00°
Sites, in units of the cell vectors:
Tc 0.000 0.000 0.000
Pb 0.500 0.500 0.000
W 0.000 0.500 0.500
W 0.500 0.000 0.500

Crystalline HfIr2Pb2 at its relaxed geometry, computed with PBE-GGA.

Symmetry: I4/mmm
Total magnetic moment: 0.0 μB per formula unit
Formation energy from the elements: 0.340 eV/atom
Energy above the lowest structure with this stoichiometry: 27.8 kJ/mol of atoms
Volume: 109.6 Å³/cell

a = 7.145 Å, b = 7.145 Å, c = 7.145 Å
α = 146.68°, β = 146.68°, γ = 47.83°
Sites, in units of the cell vectors:
Hf 0.000 0.000 0.000
Ir 0.407 0.407 0.000
Ir 0.593 0.593 0.000
Pb 0.250 0.750 0.500
Pb 0.750 0.250 0.500

Crystalline BeCrNi at its relaxed geometry, computed with PBE-GGA.

Symmetry: Pm
Total magnetic moment: 0.0 μB per formula unit
Formation energy from the elements: -0.074 eV/atom
Energy above the lowest structure with this stoichiometry: 8.5 kJ/mol of atoms
Volume: 61.3 Å³/cell

a = 2.415 Å, b = 3.768 Å, c = 6.764 Å
α = 90.00°, β = 95.19°, γ = 90.00°
Sites, in units of the cell vectors:
Be 0.000 0.000 0.000
Be 0.374 0.000 0.693
Cr 0.475 0.500 0.152
Cr 0.776 0.000 0.333
Ni 0.264 0.500 0.504
Ni 0.864 0.500 0.824

Number 5 is which compound?
BeCrNi

Repeat the fifth record exactly.
Crystalline BeCrNi at its relaxed geometry, computed with PBE-GGA.

Symmetry: Pm
Total magnetic moment: 0.0 μB per formula unit
Formation energy from the elements: -0.074 eV/atom
Energy above the lowest structure with this stoichiometry: 8.5 kJ/mol of atoms
Volume: 61.3 Å³/cell

a = 2.415 Å, b = 3.768 Å, c = 6.764 Å
α = 90.00°, β = 95.19°, γ = 90.00°
Sites, in units of the cell vectors:
Be 0.000 0.000 0.000
Be 0.374 0.000 0.693
Cr 0.475 0.500 0.152
Cr 0.776 0.000 0.333
Ni 0.264 0.500 0.504
Ni 0.864 0.500 0.824